[1]
{
  "formula": "AsRh2S2",
  "functional": "PBE",
  "state": "relaxed",
  "energy_ev_per_cell": -54.27,
  "e_form_raw_ev_per_atom": 0.0944,
  "relative_energy_kj_per_mol_fu": 0.0,
  "lattice": [[7.428, 0.000, 0.000], [0.000, 7.428, 0.000], [0.000, 0.000, 2.951]],
  "species": ["Rh", "Rh", "Rh", "Rh", "As", "As", "S", "S", "S", "S"],
  "frac_coords": [[0.806, 0.694, 0.000], [0.694, 0.194, 0.000], [0.194, 0.306, 0.000], [0.306, 0.806, 0.000], [0.000, 0.000, 0.000], [0.500, 0.500, 0.000], [0.142, 0.642, 0.500], [0.642, 0.858, 0.500], [0.358, 0.142, 0.500], [0.858, 0.358, 0.500]]
}

---

[2]
{
  "formula": "As2RhS",
  "functional": "PBE",
  "state": "relaxed",
  "energy_ev_per_cell": -41.08,
  "e_form_raw_ev_per_atom": 0.0599,
  "lattice": [[-5.208, 1.502, 1.699], [0.911, -2.511, 5.013], [-0.078, 4.351, 5.411]],
  "species": ["As", "As", "As", "As", "Rh", "Rh", "S", "S"],
  "frac_coords": [[0.654, 0.125, 0.250], [0.375, 0.346, 0.750], [0.875, 0.904, 0.750], [0.096, 0.625, 0.250], [0.750, 0.250, 0.500], [0.000, 0.000, 0.000], [0.500, 0.500, 0.000], [0.250, 0.750, 0.500]]
}

---

[3]
{
  "formula": "AsRhS",
  "functional": "PBE",
  "state": "relaxed",
  "energy_ev_per_cell": -69.99,
  "e_form_raw_ev_per_atom": -0.4560,
  "lattice": [[4.623, 0.000, 0.000], [0.000, 6.471, 0.014], [0.000, 0.058, 6.890]],
  "species": ["As", "As", "As", "As", "Rh", "Rh", "Rh", "Rh", "S", "S", "S", "S"],
  "frac_coords": [[0.282, 0.558, 0.097], [0.782, 0.442, 0.403], [0.218, 0.558, 0.597], [0.718, 0.442, 0.903], [0.501, 0.762, 0.357], [0.499, 0.238, 0.643], [0.999, 0.762, 0.857], [0.001, 0.238, 0.143], [0.301, 0.058, 0.915], [0.199, 0.058, 0.415], [0.699, 0.942, 0.085], [0.801, 0.942, 0.585]]
}

---

[4]
{
  "formula": "ScAsRhS2",
  "functional": "PBE",
  "state": "relaxed",
  "energy_ev_per_cell": -27.04,
  "e_form_raw_ev_per_atom": -0.0897,
  "lattice": [[4.749, 0.000, 0.000], [0.000, 4.591, 0.000], [0.000, 0.000, 4.749]],
  "species": ["As", "Rh", "S", "S", "Sc"],
  "frac_coords": [[0.000, 0.500, 0.000], [0.000, 0.000, 0.000], [0.500, 0.000, 0.000], [0.000, 0.000, 0.500], [0.500, 0.500, 0.500]]
}

---

[5]
{
  "formula": "As2RhSeS",
  "functional": "PBE",
  "state": "relaxed",
  "energy_ev_per_cell": -21.04,
  "e_form_raw_ev_per_atom": 0.6444,
  "relative_energy_kj_per_mol_fu": 0.0,
  "lattice": [[4.706, 0.000, 0.000], [0.000, 4.706, 0.000], [0.000, 0.000, 5.066]],
  "species": ["Rh", "Se", "S", "As", "As"],
  "frac_coords": [[0.000, 0.000, 0.000], [0.000, 0.000, 0.500], [0.500, 0.500, 0.500], [0.000, 0.500, 0.000], [0.500, 0.000, 0.000]]
}

---

[6]
{
  "formula": "As2RhSeS",
  "functional": "PBE",
  "state": "relaxed",
  "energy_ev_per_cell": -19.63,
  "e_form_raw_ev_per_atom": 0.9257,
  "relative_energy_kj_per_mol_fu": 135.7,
  "lattice": [[4.711, 0.000, 0.000], [0.000, 4.711, 0.000], [0.000, 0.000, 4.649]],
  "species": ["Rh", "As", "As", "Se", "S"],
  "frac_coords": [[0.500, 0.500, 0.500], [0.000, 0.500, 0.000], [0.500, 0.000, 0.000], [0.000, 0.000, 0.500], [0.000, 0.000, 0.000]]
}

---

[7]
{
  "formula": "Th2AsRh6S",
  "functional": "PBE",
  "state": "relaxed",
  "energy_ev_per_cell": -150.46,
  "e_form_raw_ev_per_atom": -0.7505,
  "lattice": [[-0.104, -5.379, 1.539], [5.468, -1.636, -5.349], [6.077, 1.527, 5.745]],
  "species": ["As", "As", "Rh", "Rh", "Rh", "Rh", "Rh", "Rh", "Rh", "Rh", "Rh", "Rh", "Rh", "Rh", "Th", "Th", "Th", "Th", "S", "S"],
  "frac_coords": [[0.500, 0.273, 0.000], [0.000, 0.727, 0.500], [0.251, 0.993, 0.500], [0.500, 0.115, 0.748], [0.747, 0.477, 0.500], [0.753, 0.523, 0.000], [0.500, 0.115, 0.252], [0.000, 0.885, 0.752], [0.253, 0.477, 0.500], [0.249, 0.007, 0.000], [0.247, 0.523, 0.000], [0.000, 0.885, 0.248], [0.751, 0.007, 0.000], [0.749, 0.993, 0.500], [0.500, 0.735, 0.257], [0.000, 0.265, 0.757], [0.500, 0.735, 0.743], [0.000, 0.265, 0.243], [0.500, 0.242, 0.500], [0.000, 0.758, 0.000]]
}

---

[8]
{
  "formula": "SbAs2Rh",
  "functional": "PBE",
  "state": "relaxed",
  "energy_ev_per_cell": -21.07,
  "e_form_raw_ev_per_atom": -0.0741,
  "lattice": [[4.573, 0.157, 0.232], [2.977, 3.474, 0.232], [1.623, 0.780, 5.745]],
  "species": ["Sb", "As", "As", "Rh"],
  "frac_coords": [[0.163, 0.163, 0.271], [0.959, 0.959, 0.965], [0.837, 0.837, 0.626], [0.541, 0.541, 0.639]]
}

---

[9]
{
  "formula": "SbAsRh",
  "functional": "PBE",
  "state": "relaxed",
  "energy_ev_per_cell": -70.67,
  "e_form_raw_ev_per_atom": -0.5145,
  "relative_energy_kj_per_mol_fu": 0.0,
  "lattice": [[6.398, 0.000, 0.000], [0.000, 6.426, 0.003], [0.000, 2.734, 5.879]],
  "species": ["Sb", "Sb", "Sb", "Sb", "Rh", "Rh", "Rh", "Rh", "As", "As", "As", "As"],
  "frac_coords": [[0.130, 0.155, 0.133], [0.870, 0.845, 0.867], [0.630, 0.845, 0.367], [0.370, 0.155, 0.633], [0.992, 0.285, 0.706], [0.508, 0.285, 0.206], [0.008, 0.715, 0.294], [0.492, 0.715, 0.794], [0.362, 0.653, 0.175], [0.638, 0.347, 0.825], [0.862, 0.347, 0.325], [0.138, 0.653, 0.675]]
}

---

[10]
{
  "formula": "SbAs2Rh",
  "functional": "PBE",
  "state": "relaxed",
  "energy_ev_per_cell": -19.88,
  "e_form_raw_ev_per_atom": 0.2229,
  "lattice": [[4.955, 0.063, 0.000], [0.920, 4.870, 0.000], [-2.938, -2.466, 3.138]],
  "species": ["Rh", "As", "As", "Sb"],
  "frac_coords": [[0.500, 0.500, 0.000], [0.250, 0.750, 0.500], [0.000, 0.000, 0.000], [0.750, 0.250, 0.500]]
}

---

[11]
{
  "formula": "SbAs2Rh",
  "functional": "PBE",
  "state": "relaxed",
  "energy_ev_per_cell": -41.73,
  "e_form_raw_ev_per_atom": -0.0235,
  "lattice": [[5.966, 0.000, 0.000], [0.000, 5.966, 0.000], [2.983, 2.983, 5.802]],
  "species": ["Sb", "Sb", "As", "As", "As", "As", "Rh", "Rh"],
  "frac_coords": [[0.750, 0.250, 0.500], [0.000, 0.000, 0.000], [0.375, 0.429, 0.750], [0.179, 0.625, 0.250], [0.875, 0.821, 0.750], [0.571, 0.125, 0.250], [0.250, 0.750, 0.500], [0.500, 0.500, 0.000]]
}

---

[12]
{
  "formula": "SbAs2Rh",
  "functional": "PBE",
  "state": "relaxed",
  "energy_ev_per_cell": -20.71,
  "e_form_raw_ev_per_atom": 0.0154,
  "lattice": [[6.384, -0.015, -0.021], [4.143, 4.857, 0.021], [-5.022, -2.947, 2.618]],
  "species": ["Sb", "As", "As", "Rh"],
  "frac_coords": [[0.314, 0.814, 0.500], [0.674, 0.174, 0.500], [0.004, 0.004, 0.000], [0.508, 0.508, 0.000]]
}